Entry 1:
Here is a geometry-optimized Er4TmBi3 structure from Alexandria. Energies are from PBE.

Properties
For the formation energy, the calculation gives -0.55 eV/atom. The calculation puts the volume at 475.0 Å³/cell. The calculation puts the total DFT energy (no corrections) at -4.849 eV per atom.

The structure in CIF format:
```
data_Er4TmBi3
_space_group_name_H-M_alt 'C 1 2/m 1'
_space_group_IT_number 12
_cell_length_a 11.762
_cell_length_b 4.486
_cell_length_c 10.072
_cell_angle_alpha 90.00
_cell_angle_beta 116.64
_cell_angle_gamma 90.00
loop_
_space_group_symop_operation_xyz
'x,y,z'
'-x,-y,-z'
'-x,y,-z'
'x,-y,z'
'x+1/2,y+1/2,z'
'-x+1/2,-y+1/2,-z'
'-x+1/2,y+1/2,-z'
'x+1/2,-y+1/2,z'
loop_
_atom_site_label
_atom_site_type_symbol
_atom_site_fract_x
_atom_site_fract_y
_atom_site_fract_z
Er1 Er 0.124 0.000 0.400
Er2 Er 0.151 0.500 0.851
Tm1 Tm 0.000 0.000 0.000
Bi1 Bi 0.000 0.500 0.500
Bi2 Bi 0.176 0.500 0.207
```

***

Entry 2:
Here is a geometry-optimized Ac2In2Rh structure from Alexandria. Energies are from PBE.

Properties
The value obtained for the relative energy among the computed polymorphs is 151.9 meV per atom. For the formation energy, the calculation gives -0.41 eV/atom. The calculation puts the volume at 620.2 Å³/cell. The calculation puts the total DFT energy (no corrections) at -4.622 eV per atom.

The structure in CIF format:
```
data_Ac2In2Rh
_space_group_name_H-M_alt 'I 41/a m d'
_space_group_IT_number 141
_cell_length_a 4.955
_cell_length_b 4.955
_cell_length_c 25.258
_cell_angle_alpha 90.00
_cell_angle_beta 90.00
_cell_angle_gamma 90.00
loop_
_space_group_symop_operation_xyz
'x,y,z'
'-x,-y,-z'
'-y+1/4,x+3/4,z+1/4'
'y+1/4,-x+3/4,-z+1/4'
'-x+1/2,-y,z+1/2'
'x+1/2,y,-z+1/2'
'y+1/4,-x+1/4,z+3/4'
'-y+1/4,x+1/4,-z+3/4'
'x,-y,-z'
'-x,y,z'
'-y+1/4,-x+1/4,-z+3/4'
'y+1/4,x+1/4,z+3/4'
'-x+1/2,y,-z+1/2'
'x+1/2,-y,z+1/2'
'y+1/4,x+3/4,-z+1/4'
'-y+1/4,-x+3/4,z+1/4'
'x+1/2,y+1/2,z+1/2'
'-x+1/2,-y+1/2,-z+1/2'
'-y+3/4,x+1/4,z+3/4'
'y+3/4,-x+1/4,-z+3/4'
'-x,-y+1/2,z'
'x,y+1/2,-z'
'y+3/4,-x+3/4,z+1/4'
'-y+3/4,x+3/4,-z+1/4'
'x+1/2,-y+1/2,-z+1/2'
'-x+1/2,y+1/2,z+1/2'
'-y+3/4,-x+3/4,-z+1/4'
'y+3/4,x+3/4,z+1/4'
'-x,y+1/2,-z'
'x,-y+1/2,z'
'y+3/4,x+1/4,-z+3/4'
'-y+3/4,-x+1/4,z+3/4'
loop_
_atom_site_label
_atom_site_type_symbol
_atom_site_fract_x
_atom_site_fract_y
_atom_site_fract_z
Ac1 Ac 0.000 0.250 0.062
In1 In 0.000 0.250 0.201
Rh1 Rh 0.000 0.250 0.375
```

***

Entry 3:
Here is a geometry-optimized Zr2CrPb structure from Alexandria. Energies are from PBE.

Properties
For the formation energy, the calculation gives 0.10 eV/atom. The calculation puts the volume at 173.6 Å³/cell. The calculation puts the total DFT energy (no corrections) at -7.510 eV per atom.

The structure in CIF format:
```
data_Zr2CrPb
_space_group_name_H-M_alt 'A m m 2'
_space_group_IT_number 38
_cell_length_a 4.265
_cell_length_b 3.714
_cell_length_c 10.960
_cell_angle_alpha 90.00
_cell_angle_beta 90.00
_cell_angle_gamma 90.00
loop_
_space_group_symop_operation_xyz
'x,y,z'
'-x,-y,z'
'-x,y,z'
'x,-y,z'
'x,y+1/2,z+1/2'
'-x,-y+1/2,z+1/2'
'-x,y+1/2,z+1/2'
'x,-y+1/2,z+1/2'
loop_
_atom_site_label
_atom_site_type_symbol
_atom_site_fract_x
_atom_site_fract_y
_atom_site_fract_z
Zr1 Zr 0.000 0.000 0.000
Zr2 Zr 0.500 0.000 0.313
Cr1 Cr 0.500 0.000 0.558
Pb1 Pb 0.000 0.000 0.725
```

***

Entry 4:
Here is a geometry-optimized LaTbTiN3 structure from Alexandria. Energies are from PBE.

Properties
The raw formation energy is -7.98 eV/f.u. The calculation puts the volume at 204.6 Å³/cell. The calculation puts the total DFT energy (no corrections) at -8.402 eV per atom.

The structure in CIF format:
```
data_LaTbTiN3
_space_group_name_H-M_alt 'P 1 21/m 1'
_space_group_IT_number 11
_cell_length_a 7.384
_cell_length_b 3.599
_cell_length_c 7.804
_cell_angle_alpha 90.00
_cell_angle_beta 99.41
_cell_angle_gamma 90.00
loop_
_space_group_symop_operation_xyz
'x,y,z'
'-x,-y,-z'
'-x,y+1/2,-z'
'x,-y+1/2,z'
loop_
_atom_site_label
_atom_site_type_symbol
_atom_site_fract_x
_atom_site_fract_y
_atom_site_fract_z
La1 La 0.175 0.250 0.176
Tb1 Tb 0.365 0.750 0.843
Ti1 Ti 0.101 0.250 0.599
N1 N 0.115 0.250 0.848
N2 N 0.167 0.750 0.522
N3 N 0.405 0.750 0.138
```

***

> Among the records above, which one has the lowest total DFT energy (no corrections)?

LaTbTiN3